Entry from Alexandria via LeMat-Bulk: a geometry-optimized CrTeNO2 structure (GGA+U).

calculated volume = 13.21 Å³/atom
spin magnetization = 4.21 μB/f.u.
total energy = -5.7348 eV per atom

a = 3.9944 Å, b = 3.9944 Å, c = 4.1393 Å
α = 90.00°, β = 90.00°, γ = 90.00°
With the nearest neighbours (Å) after each atom.
Fractional coordinates of all 5 atoms:
Cr 0.5000 0.5000 0.5000  4 N 2.82, 8 O 2.88
Te 0.0000 0.0000 0.0000  4 O 2.00, 2 N 2.07
O 0.0000 0.5000 0.0000  2 Te 2.00
O 0.5000 0.0000 0.0000  2 Te 2.00
N 0.0000 0.0000 0.5000  2 Te 2.07